PmNd2Ho4Th PBE-GGA relaxed; space group = No. 47; theoretical density = 8.4 g cm⁻³; DFT formation energy = 29 meV per atom; E = -4.97 eV per atom
1.0
-0.579 -1.124 -4.959
-4.607 -1.957 0.981
-8.736 7.004 -0.568
Pm Nd Ho Th
1 2 4 1
Direct
0.500 0.500 0.000
0.000 0.000 0.000
0.500 0.000 0.500
0.000 0.754 0.745
0.000 0.246 0.255
0.500 0.745 0.255
0.500 0.255 0.745
0.000 0.500 0.500


PmNd6Ho2Th PBE-GGA relaxed; space group = No. 15; theoretical density = 7.6 g cm⁻³; DFT formation energy = 141 meV per atom; E = -4.85 eV per atom
1.0
9.338 -2.127 -2.208
0.807 8.634 -1.899
0.807 -2.218 8.558
Pm Nd Ho Th
2 12 4 2
Direct
0.250 0.405 0.595
0.750 0.595 0.405
0.058 0.107 0.758
0.442 0.242 0.893
0.942 0.893 0.242
0.558 0.758 0.107
0.314 0.986 0.424
0.186 0.576 0.014
0.686 0.014 0.576
0.814 0.424 0.986
0.120 0.701 0.489
0.380 0.511 0.299
0.880 0.299 0.511
0.620 0.489 0.701
0.449 0.803 0.713
0.051 0.287 0.197
0.551 0.197 0.287
0.949 0.713 0.803
0.250 0.970 0.030
0.750 0.030 0.970


PmNdHoTh PBE-GGA relaxed; space group = No. 216; E above lowest polymorph = 0.56 eV per formula unit; theoretical density = 8.6 g cm⁻³; DFT formation energy = 166 meV per atom; E = -5.21 eV per atom
1.0
-2.656 4.190 -2.870
0.206 0.128 -5.726
-4.703 -1.159 -3.063
Nd Ho Th Pm
1 1 1 1
Direct
0.250 0.250 0.250
0.500 0.500 0.500
0.750 0.750 0.750
0.000 0.000 0.000


PmNd5Ho2Th PBE-GGA relaxed; space group = No. 36; theoretical density = 7.6 g cm⁻³; DFT formation energy = 159 meV per atom; E = -4.86 eV per atom
1.0
5.714 0.000 0.000
-2.857 10.263 0.000
0.000 0.000 10.610
Pm Nd Ho Th
2 10 4 2
Direct
0.591 0.182 0.951
0.409 0.818 0.451
0.388 0.775 0.027
0.723 0.446 0.813
0.478 0.957 0.743
0.293 0.586 0.704
0.985 0.969 0.522
0.612 0.225 0.527
0.277 0.554 0.313
0.522 0.043 0.243
0.707 0.414 0.204
0.015 0.031 0.022
0.884 0.767 0.817
0.113 0.226 0.736
0.116 0.233 0.317
0.887 0.774 0.236
0.801 0.602 0.512
0.199 0.398 0.012


PmNdHoTl PBE-GGA relaxed; space group = No. 216; E above lowest polymorph = 0.67 eV per formula unit; theoretical density = 9.0 g cm⁻³; DFT formation energy = -25 meV per atom; E = -4.14 eV per atom
1.0
5.554 0.000 0.000
2.777 4.810 0.000
2.777 1.603 4.535
Tl Nd Ho Pm
1 1 1 1
Direct
0.500 0.500 0.500
0.750 0.750 0.750
0.250 0.250 0.250
0.000 0.000 0.000


Pm6Nd3Ho2Tl PBE-GGA relaxed; space group = No. 12; theoretical density = 7.7 g cm⁻³; DFT formation energy = -8 meV per atom; E = -4.54 eV per atom
1.0
-2.719 2.172 -5.215
-3.470 -2.668 4.488
0.688 10.568 5.325
Pm Nd Ho Tl
6 3 2 1
Direct
0.921 0.594 0.757
0.753 0.753 0.245
0.079 0.406 0.243
0.594 0.921 0.757
0.247 0.247 0.755
0.406 0.079 0.243
0.169 0.831 0.500
0.831 0.169 0.500
0.500 0.500 0.500
0.334 0.666 0.000
0.666 0.334 0.000
0.000 0.000 0.000


Pm2NdHoTl2 PBE-GGA relaxed; space group = No. 26; theoretical density = 9.1 g cm⁻³; DFT formation energy = -271 meV per atom; E = -4.20 eV per atom
1.0
-2.489 -3.845 -2.464
2.624 -4.576 4.490
-8.079 1.335 6.080
Pm Nd Ho Tl
4 2 2 4
Direct
0.500 0.054 0.046
0.000 0.332 0.183
0.500 0.554 0.954
0.000 0.832 0.817
0.000 0.960 0.456
0.000 0.460 0.544
0.500 0.179 0.688
0.500 0.679 0.312
0.000 0.297 0.859
0.500 0.223 0.370
0.000 0.797 0.141
0.500 0.723 0.630


PmNdHoTl PBE-GGA relaxed; space group = No. 47; E above lowest polymorph = 0.00 eV per formula unit; theoretical density = 9.1 g cm⁻³; DFT formation energy = -193 meV per atom; E = -4.31 eV per atom
1.0
4.901 0.000 0.000
0.000 4.887 0.000
0.000 0.000 5.009
Pm Nd Ho Tl
1 1 1 1
Direct
0.500 0.000 0.500
0.000 0.500 0.500
0.000 0.000 0.000
0.500 0.500 0.000


PmNd6HoTm2 PBE-GGA relaxed; space group = No. 15; theoretical density = 7.4 g cm⁻³; DFT formation energy = 115 meV per atom; E = -4.57 eV per atom
1.0
9.206 -1.976 -2.051
0.828 8.673 -1.981
0.828 -2.301 8.593
Pm Nd Ho Tm
2 12 2 4
Direct
0.250 0.970 0.030
0.750 0.030 0.970
0.055 0.114 0.761
0.445 0.239 0.886
0.945 0.886 0.239
0.555 0.761 0.114
0.315 0.993 0.440
0.185 0.560 0.007
0.685 0.007 0.560
0.815 0.440 0.993
0.117 0.706 0.485
0.383 0.515 0.294
0.883 0.294 0.515
0.617 0.485 0.706
0.250 0.411 0.589
0.750 0.589 0.411
0.451 0.797 0.701
0.049 0.299 0.203
0.549 0.203 0.299
0.951 0.701 0.797


PmNdHo2Tm5 PBE-GGA relaxed; space group = No. 140; theoretical density = 8.5 g cm⁻³; DFT formation energy = 283 meV per atom; E = -4.28 eV per atom
1.0
8.786 0.000 0.000
0.000 8.786 0.000
-4.393 -4.393 7.413
Pm Nd Ho Tm
2 2 4 10
Direct
0.250 0.250 0.500
0.750 0.750 0.500
0.250 0.750 0.500
0.750 0.250 0.500
0.115 0.385 0.000
0.615 0.115 0.000
0.385 0.885 0.000
0.885 0.615 0.000
0.929 0.429 0.265
0.664 0.164 0.735
0.071 0.571 0.735
0.164 0.071 0.735
0.571 0.664 0.735
0.836 0.929 0.265
0.429 0.336 0.265
0.336 0.836 0.265
0.500 0.500 0.000
0.000 0.000 0.000


PmNdHoTm PBE-GGA relaxed; space group = No. 216; theoretical density = 7.9 g cm⁻³; DFT formation energy = 107 meV per atom; E = -4.53 eV per atom
1.0
-4.557 3.440 -0.024
-3.257 0.392 -4.673
-5.258 -2.226 -0.010
Tm Nd Ho Pm
1 1 1 1
Direct
0.500 0.500 0.500
0.250 0.250 0.250
0.000 0.000 0.000
0.750 0.750 0.750


Pm3Nd6Ho2Tm PBE-GGA relaxed; space group = No. 12; theoretical density = 7.4 g cm⁻³; DFT formation energy = 15 meV per atom; E = -4.69 eV per atom
1.0
-2.337 -1.454 5.672
3.151 -4.336 -3.320
9.799 5.393 4.251
Pm Nd Ho Tm
3 6 2 1
Direct
0.167 0.833 0.500
0.833 0.167 0.500
0.500 0.500 0.500
0.917 0.584 0.754
0.750 0.750 0.246
0.083 0.416 0.246
0.584 0.917 0.754
0.250 0.250 0.754
0.416 0.083 0.246
0.333 0.667 0.000
0.667 0.333 0.000
0.000 0.000 0.000